# 1
# ZrSiSb2, relaxed, DFT GGA-PBEsol
data_ZrSiSb2
_chemical_formula_sum 'Zr4 Si4 Sb8'
_space_group_name_H-M_alt 'F -4 3 m'
_space_group_IT_number 216
_space_group_name_Hall 'F -4 2 3'
_cell_length_a 7.046
_cell_length_b 7.046
_cell_length_c 7.046
_cell_angle_alpha 90.00
_cell_angle_beta 90.00
_cell_angle_gamma 90.00
loop_
_atom_site_label
_atom_site_fract_x
_atom_site_fract_y
_atom_site_fract_z
Zr1 0.000 0.000 0.000
Si1 0.250 0.250 0.750
Sb1 0.000 0.000 0.500
Sb2 0.250 0.250 0.250
# Calculated volume in Å³/cell: 349.9
# Energy relative to the elements, uncorrected in meV/atom: 188
# E in eV/atom: -5.800

***

# 2
# ZrSiSb2, relaxed, DFT GGA-PBEsol
data_ZrSiSb2
_chemical_formula_sum 'Zr2 Si2 Sb4'
_space_group_name_H-M_alt 'C 1 2/m 1'
_space_group_IT_number 12
_space_group_name_Hall '-C 2y'
_cell_length_a 10.306
_cell_length_b 3.540
_cell_length_c 4.779
_cell_angle_alpha 90.00
_cell_angle_beta 94.23
_cell_angle_gamma 90.00
loop_
_atom_site_label
_atom_site_fract_x
_atom_site_fract_y
_atom_site_fract_z
Zr1 0.000 0.000 0.000
Si1 0.000 0.500 0.500
Sb1 0.233 0.500 0.243
# Calculated volume in Å³/cell: 173.9
# Energy relative to the elements, uncorrected in meV/atom: -64
# E in eV/atom: -6.052

***

# 3
# ZrSiSb2, relaxed, DFT GGA-PBEsol
data_ZrSiSb2
_chemical_formula_sum 'Zr2 Si2 Sb4'
_space_group_name_H-M_alt 'C m m m'
_space_group_IT_number 65
_space_group_name_Hall '-C 2 2'
_cell_length_a 6.077
_cell_length_b 7.726
_cell_length_c 3.628
_cell_angle_alpha 90.00
_cell_angle_beta 90.00
_cell_angle_gamma 90.00
loop_
_atom_site_label
_atom_site_fract_x
_atom_site_fract_y
_atom_site_fract_z
Zr1 0.000 0.000 0.000
Si1 0.000 0.500 0.000
Sb1 0.250 0.250 0.500
# Calculated volume in Å³/cell: 170.3
# Energy relative to the elements, uncorrected in meV/atom: -94
# E in eV/atom: -6.081

***

# 4
# ZrSiSb, relaxed, DFT GGA-PBEsol
data_ZrSiSb
_chemical_formula_sum 'Zr4 Si4 Sb4'
_space_group_name_H-M_alt 'F -4 3 m'
_space_group_IT_number 216
_space_group_name_Hall 'F -4 2 3'
_cell_length_a 6.653
_cell_length_b 6.653
_cell_length_c 6.653
_cell_angle_alpha 90.00
_cell_angle_beta 90.00
_cell_angle_gamma 90.00
loop_
_atom_site_label
_atom_site_fract_x
_atom_site_fract_y
_atom_site_fract_z
Zr1 0.000 0.000 0.000
Si1 0.000 0.000 0.500
Sb1 0.250 0.250 0.750
# Calculated volume in Å³/cell: 294.5
# Energy relative to the elements, uncorrected in meV/atom: 384
# E in eV/atom: -6.080

***

# 5
# ZrSiSb2, relaxed, DFT GGA-PBEsol
data_ZrSiSb2
_chemical_formula_sum 'Zr1 Si1 Sb2'
_space_group_name_H-M_alt 'P m m m'
_space_group_IT_number 47
_space_group_name_Hall '-P 2 2'
_cell_length_a 3.640
_cell_length_b 4.803
_cell_length_c 4.916
_cell_angle_alpha 90.00
_cell_angle_beta 90.00
_cell_angle_gamma 90.00
loop_
_atom_site_label
_atom_site_fract_x
_atom_site_fract_y
_atom_site_fract_z
Zr1 0.000 0.000 0.000
Si1 0.500 0.000 0.500
Sb1 0.000 0.500 0.500
Sb2 0.500 0.500 0.000
# Calculated volume in Å³/cell: 85.9
# Energy relative to the elements, uncorrected in meV/atom: -9
# E in eV/atom: -5.997

***

# 6
# ZrSi2Sb, relaxed, DFT GGA-PBEsol
data_ZrSi2Sb
_chemical_formula_sum 'Zr2 Si4 Sb2'
_space_group_name_H-M_alt 'C m m 2'
_space_group_IT_number 35
_space_group_name_Hall 'C 2 -2'
_cell_length_a 3.910
_cell_length_b 4.857
_cell_length_c 8.202
_cell_angle_alpha 90.00
_cell_angle_beta 90.00
_cell_angle_gamma 90.00
loop_
_atom_site_label
_atom_site_fract_x
_atom_site_fract_y
_atom_site_fract_z
Zr1 0.000 0.000 0.000
Si1 0.000 0.000 0.600
Si2 0.000 0.500 0.776
Sb1 0.000 0.500 0.276
# Calculated volume in Å³/cell: 155.8
# Energy relative to the elements, uncorrected in meV/atom: -104
# E in eV/atom: -6.389